(1)
Here is a relaxed Tl2HAu crystal from Alexandria. Energies are from PBE.

Values from the calculation:
Crystal system ... trigonal
Magnetization ... 0.0 Bohr magnetons per cell

a b c (Å): 3.8783 3.8783 19.9796
angles (deg): 90.00 90.00 120.00
Closest atoms and distances in Å follow each position.
Space group R-3m (No. 166, hexagonal axes)
Inequivalent atoms, fractional coordinates:
1 Tl 0.0000 0.0000 0.2354 x6  3 H 2.63
2 H 0.0000 0.0000 0.5000 x3  6 Tl 2.63
3 Au 0.0000 0.0000 0.0000 x3  6 Tl 2.97


(2)
Here is a relaxed Tl2HAu crystal from Alexandria. Energies are from PBE.

Values from the calculation:
Crystal system ... tetragonal
Magnetization ... 0.0 Bohr magnetons per cell

a b c (Å): 5.8151 5.8151 12.2052
angles (deg): 90.00 90.00 90.00
Closest atoms and distances in Å follow each position.
Space group I-42d (No. 122)
Inequivalent atoms, fractional coordinates:
1 Tl 0.1692 0.2500 0.1250 x8  2 H 2.33
2 H 0.0000 0.0000 0.0000 x4  4 Tl 2.33
3 Au 0.0000 0.0000 0.5000 x4  4 Tl 2.85


Preferred: (1); penalty for the next structure: 0.038 eV/atom.


(1)
Here is a relaxed TmHAu crystal from Alexandria. Energies are from PBE.

Values from the calculation:
Crystal system ... tetragonal
Magnetization ... 0.0 Bohr magnetons per cell

a b c (Å): 3.4898 3.4898 8.8427
angles (deg): 90.00 90.00 90.00
Closest atoms and distances in Å follow each position.
Space group I4mm (No. 107)
Inequivalent atoms, fractional coordinates:
1 Tm 0.0000 0.0000 0.0000 x2  4 H 2.50
2 H 0.0000 0.0000 0.4575 x2  1 Au 1.98
3 Au 0.0000 0.0000 0.6811 x2  1 H 1.98


(2)
Here is a relaxed TmHAu crystal from Alexandria. Energies are from PBE.

Values from the calculation:
Crystal system ... hexagonal
Magnetization ... 0.0 Bohr magnetons per cell

a b c (Å): 3.7289 3.7289 4.2280
angles (deg): 90.00 90.00 120.00
Closest atoms and distances in Å follow each position.
Space group P-6m2 (No. 187)
Inequivalent atoms, fractional coordinates:
1 Tm 0.0000 0.0000 0.0000 x1  3 H 2.15
2 H 0.3333 0.6667 0.0000 x1  3 Tm 2.15
3 Au 0.6667 0.3333 0.5000 x1  6 Tm 3.02, 6 H 3.02


Preferred: (2); penalty for the next structure: 0.211 eV/atom.